Here is a geometry-optimized LiDyNpN3 structure from the Alexandria database. Energies are from PBE-GGA.

abc: 6.803 3.402 7.026
angles: 90.00 102.40 90.00
Fractional positions:
Li1 0.080 0.250 0.073
Li2 0.920 0.750 0.927
Dy1 0.288 0.750 0.822
Dy2 0.712 0.250 0.178
Np1 0.319 0.750 0.327
Np2 0.681 0.250 0.673
N1 0.017 0.750 0.210
N2 0.362 0.250 0.113
N3 0.367 0.250 0.586
N4 0.633 0.750 0.414
N5 0.638 0.750 0.887
N6 0.983 0.250 0.790

The uncorrected formation energy is -1.053 eV/atom. As for the size of the total moment: 3.91 Bohr magnetons per cell. The density of states at the Fermi level is 0.742 states/eV/atom.